First-principles (PBE) data for La6FeTe2I3 after structural relaxation, as listed in Alexandria via LeMat-Bulk.

Geometry as extended XYZ:
```
12
Lattice="4.0174 -6.8236 0.0000 4.0174 6.8236 0.0000 -2.6320 0.0000 7.4412" Properties=species:S:1:pos:R:3 pbc="T T T"
La 1.1242 1.9071 1.4892
La -0.2130 0.0000 5.6881
La 1.1242 -1.9071 1.4892
La 4.2786 1.9071 5.9520
La 5.6159 0.0000 1.7531
La 4.2786 -1.9071 5.9520
Fe 0.0000 0.0000 0.0000
Te 4.0174 2.2483 0.0000
Te 4.0174 -2.2483 0.0000
I 2.7014 4.2153 3.7206
I 2.7014 0.0000 3.7206
I 2.7014 -4.2153 3.7206
```

Computed properties:
* formation energy from raw total energies: -1058.7 meV per atom
* DFT total energy: -5.14 eV per atom
* volume: 408.0 Å³/cell